1.
A plane-wave DFT calculation with PBE was carried out for crystalline Y2Be2Pt5 at its relaxed geometry.

- space-group type = P4/mmm
- total DFT energy (no corrections) (eV per atom) = -6.591
- ΔE_f (eV per formula unit) = -8.73
- total moment (Bohr magnetons per cell) = 0.00
- N(E_F) (states/eV/atom) = 0.315

Cell lengths 4.0848, 4.0848, 8.8752 Å; angles 90.00, 90.00, 90.00 degrees
Closest atoms and distances in Å follow each position.
Positions (direct):
Y1 0.0000 0.0000 0.0000  8 Pt 3.05, 8 Be 3.14
Y2 0.0000 0.0000 0.5000  12 Pt 2.89-2.98
Be1 0.5000 0.5000 0.1381  4 Pt 2.29, 1 Be 2.45
Be2 0.5000 0.5000 0.8619  4 Pt 2.29, 1 Be 2.45
Pt1 0.5000 0.0000 0.2555  2 Be 2.29
Pt2 0.5000 0.0000 0.7445  2 Be 2.29
Pt3 0.0000 0.5000 0.2555  2 Be 2.29
Pt4 0.0000 0.5000 0.7445  2 Be 2.29
Pt5 0.5000 0.5000 0.5000  4 Y 2.89, 8 Pt 2.98, 2 Be 3.21

***

2.
A plane-wave DFT calculation with PBE was carried out for crystalline YBe2Pt5 at its relaxed geometry.

- space-group type = Immm
- total DFT energy (no corrections) (eV per atom) = -6.339
- ΔE_f (eV per formula unit) = -6.59
- total moment (Bohr magnetons per cell) = 0.00
- N(E_F) (states/eV/atom) = 0.245

Cell lengths 3.8667, 6.1710, 6.1710 Å; angles 64.89, 71.74, 71.74 degrees
Closest atoms and distances in Å follow each position.
Positions (direct):
Y1 0.0000 0.0000 0.0000  10 Pt 3.09-3.31, 4 Be 3.23
Be1 0.7674 0.7326 0.7326  7 Pt 2.24-2.51
Be2 0.2326 0.2674 0.2674  7 Pt 2.24-2.51
Pt1 0.0000 0.5000 0.5000  2 Be 2.25
Pt2 0.6496 0.5586 0.1423  3 Be 2.24-2.51
Pt3 0.3504 0.4414 0.8577  3 Be 2.24-2.51
Pt4 0.3504 0.8577 0.4414  3 Be 2.24-2.51
Pt5 0.6496 0.1423 0.5586  3 Be 2.24-2.51

***

3.
A plane-wave DFT calculation with PBE was carried out for crystalline YBePt2 at its relaxed geometry.

- space-group type = P4mm
- total DFT energy (no corrections) (eV per atom) = -6.220
- ΔE_f (eV per formula unit) = -2.61
- total moment (Bohr magnetons per cell) = 0.00
- N(E_F) (states/eV/atom) = 0.356

Cell lengths 3.3894, 3.3895, 6.1438 Å; angles 90.00, 90.00, 90.00 degrees
Closest atoms and distances in Å follow each position.
Positions (direct):
Y1 0.0000 0.0000 0.4799  5 Pt 2.77-2.83
Be1 0.5000 0.5000 0.8552  5 Pt 2.33-2.44
Pt1 0.0000 0.0000 0.9305  4 Be 2.44
Pt2 0.5000 0.5000 0.2344  1 Be 2.33

***

4.
A plane-wave DFT calculation with PBE was carried out for crystalline YBePt at its relaxed geometry.

- space-group type = Pnma
- total DFT energy (no corrections) (eV per atom) = -6.271
- ΔE_f (eV per formula unit) = -2.58
- energy above the lowest structure with this stoichiometry (meV/atom) = 0.0
- total moment (Bohr magnetons per cell) = 0.00
- N(E_F) (states/eV/atom) = 0.427

Cell lengths 3.9473, 7.7907, 6.8465 Å; angles 90.00, 90.00, 90.00 degrees
Closest atoms and distances in Å follow each position.
Positions (direct):
Y1 0.2500 0.8084 0.4806  5 Be 2.85-3.11, 6 Pt 3.04-3.11
Y2 0.7500 0.3084 0.0194  5 Be 2.85-3.11, 6 Pt 3.04-3.11
Y3 0.2500 0.6916 0.9806  5 Be 2.85-3.11, 6 Pt 3.04-3.11
Y4 0.7500 0.1916 0.5194  5 Be 2.85-3.11, 6 Pt 3.04-3.11
Pt1 0.7500 0.9351 0.1720  3 Be 2.32-2.48
Pt2 0.7500 0.5649 0.6720  3 Be 2.32-2.48
Pt3 0.2500 0.0649 0.8280  3 Be 2.32-2.48
Pt4 0.2500 0.4351 0.3280  3 Be 2.32-2.48
Be1 0.7500 0.5898 0.3110  3 Pt 2.32-2.48
Be2 0.7500 0.9102 0.8110  3 Pt 2.32-2.48
Be3 0.2500 0.0898 0.1890  3 Pt 2.32-2.48
Be4 0.2500 0.4102 0.6890  3 Pt 2.32-2.48

***

5.
A plane-wave DFT calculation with PBE was carried out for crystalline YBePt2 at its relaxed geometry.

- space-group type = C2/m
- total DFT energy (no corrections) (eV per atom) = -6.458
- ΔE_f (eV per formula unit) = -3.56
- total moment (Bohr magnetons per cell) = 0.00
- N(E_F) (states/eV/atom) = 0.354

Cell lengths 4.0756, 4.0756, 5.5373 Å; angles 68.32, 68.32, 60.03 degrees
Closest atoms and distances in Å follow each position.
Positions (direct):
Y1 0.7500 0.7500 0.7500  8 Pt 2.98-3.18
Be1 0.2500 0.2500 0.2500  6 Pt 2.45
Pt1 0.9619 0.9619 0.1142  3 Be 2.45, 3 Pt 2.72
Pt2 0.5381 0.5381 0.3858  3 Be 2.45, 3 Pt 2.72

***

6.
A plane-wave DFT calculation with PBE was carried out for crystalline YBe3Pt at its relaxed geometry.

- space-group type = Pm-3m
- total DFT energy (no corrections) (eV per atom) = -5.059
- ΔE_f (eV per formula unit) = -1.61
- energy above the lowest structure with this stoichiometry (meV/atom) = 0.0
- total moment (Bohr magnetons per cell) = 0.00
- N(E_F) (states/eV/atom) = 0.672

Cell lengths 4.2839, 4.2839, 4.2839 Å; angles 90.00, 90.00, 90.00 degrees
Closest atoms and distances in Å follow each position.
Positions (direct):
Y1 0.5000 0.5000 0.5000  12 Be 3.03
Be1 0.0000 0.5000 0.0000  2 Pt 2.14
Be2 0.0000 0.0000 0.5000  2 Pt 2.14
Be3 0.5000 0.0000 0.0000  2 Pt 2.14
Pt1 0.0000 0.0000 0.0000  6 Be 2.14

***

7.
A plane-wave DFT calculation with PBE was carried out for crystalline YBePt2 at its relaxed geometry.

- space-group type = P4/nmm
- total DFT energy (no corrections) (eV per atom) = -6.539
- ΔE_f (eV per formula unit) = -3.88
- total moment (Bohr magnetons per cell) = 0.00
- N(E_F) (states/eV/atom) = 0.500

Cell lengths 3.9323, 3.9323, 9.0267 Å; angles 90.00, 90.00, 90.00 degrees
Closest atoms and distances in Å follow each position.
Positions (direct):
Y1 0.5000 0.0000 0.2180  9 Pt 2.94-3.22, 4 Be 3.08
Y2 0.0000 0.5000 0.7820  9 Pt 2.94-3.22, 4 Be 3.08
Be1 0.5000 0.0000 0.6363  5 Pt 2.28-2.32
Be2 0.0000 0.5000 0.3637  5 Pt 2.28-2.32
Pt1 0.5000 0.0000 0.8893  1 Be 2.28
Pt2 0.0000 0.5000 0.1107  1 Be 2.28
Pt3 0.0000 0.0000 0.5000  4 Be 2.32
Pt4 0.5000 0.5000 0.5000  4 Be 2.32

***

8.
A plane-wave DFT calculation with PBE was carried out for crystalline YBePt4 at its relaxed geometry.

- space-group type = F-43m
- total DFT energy (no corrections) (eV per atom) = -6.255
- ΔE_f (eV per formula unit) = -3.18
- energy above the lowest structure with this stoichiometry (meV/atom) = 376.4
- total moment (Bohr magnetons per cell) = 0.00
- N(E_F) (states/eV/atom) = 0.654

Cell lengths 5.3176, 5.3176, 5.3176 Å; angles 60.00, 60.00, 60.00 degrees
Closest atoms and distances in Å follow each position.
Positions (direct):
Y1 0.7500 0.7500 0.7500  12 Pt 3.12, 4 Be 3.26
Be1 0.0000 0.0000 0.0000  12 Pt 3.12, 4 Y 3.26
Pt1 0.8773 0.3742 0.3742  6 Pt 2.64-2.68
Pt2 0.3742 0.3742 0.8773  6 Pt 2.64-2.68
Pt3 0.3742 0.8773 0.3742  6 Pt 2.64-2.68
Pt4 0.3742 0.3742 0.3742  6 Pt 2.64-2.68

***

9.
A plane-wave DFT calculation with PBE was carried out for crystalline YBe4Pt8 at its relaxed geometry.

- space-group type = I4/mmm
- total DFT energy (no corrections) (eV per atom) = -6.029
- ΔE_f (eV per formula unit) = -8.68
- total moment (Bohr magnetons per cell) = 0.00
- N(E_F) (states/eV/atom) = 0.540

Cell lengths 5.1397, 6.5405, 6.5405 Å; angles 81.12, 66.86, 66.86 degrees
Closest atoms and distances in Å follow each position.
Positions (direct):
Y1 0.0000 0.0000 0.0000  4 Pt 2.83
Be1 0.0000 0.0000 0.5000  8 Pt 2.49-2.58, 2 Be 2.57
Be2 0.5000 0.0000 0.5000  8 Pt 2.49-2.58, 2 Be 2.57
Be3 0.0000 0.5000 0.0000  8 Pt 2.49-2.58, 2 Be 2.57
Be4 0.5000 0.5000 0.0000  8 Pt 2.49-2.58, 2 Be 2.57
Pt1 0.0000 0.3330 0.6670  4 Be 2.58, 5 Pt 2.73-2.84, 1 Y 2.83
Pt2 0.0000 0.6670 0.3330  4 Be 2.58, 5 Pt 2.73-2.84, 1 Y 2.83
Pt3 0.3330 0.6670 0.6670  4 Be 2.58, 5 Pt 2.73-2.84, 1 Y 2.83
Pt4 0.6670 0.3330 0.3330  4 Be 2.58, 5 Pt 2.73-2.84, 1 Y 2.83
Pt5 0.5000 0.7743 0.2257  4 Be 2.49, 6 Pt 2.71-2.73
Pt6 0.5000 0.2257 0.7743  4 Be 2.49, 6 Pt 2.71-2.73
Pt7 0.2743 0.2257 0.2257  4 Be 2.49, 6 Pt 2.71-2.73
Pt8 0.7257 0.7743 0.7743  4 Be 2.49, 6 Pt 2.71-2.73

***

10.
A plane-wave DFT calculation with PBE was carried out for crystalline YBePt4 at its relaxed geometry.

- space-group type = Cmcm
- total DFT energy (no corrections) (eV per atom) = -6.631
- ΔE_f (eV per formula unit) = -5.44
- energy above the lowest structure with this stoichiometry (meV/atom) = 0.0
- total moment (Bohr magnetons per cell) = 0.00
- N(E_F) (states/eV/atom) = 0.323

Cell lengths 3.9194, 6.4424, 7.8847 Å; angles 90.00, 104.39, 90.00 degrees
Closest atoms and distances in Å follow each position.
Positions (direct):
Y1 0.1091 0.2500 0.2182  11 Pt 2.92-3.25, 2 Be 3.15
Y2 0.8909 0.7500 0.7818  11 Pt 2.92-3.25, 2 Be 3.15
Be1 0.2293 0.7500 0.4586  7 Pt 2.25-2.47
Be2 0.7707 0.2500 0.5414  7 Pt 2.25-2.47
Pt1 0.5000 0.5000 0.0000  6 Pt 2.83-2.85, 4 Y 3.04
Pt2 0.5000 0.0000 0.0000  6 Pt 2.83-2.85, 4 Y 3.04
Pt3 0.6861 0.9587 0.3722  3 Be 2.28-2.47
Pt4 0.3139 0.0413 0.6278  3 Be 2.28-2.47
Pt5 0.3139 0.4587 0.6278  3 Be 2.28-2.47
Pt6 0.6861 0.5413 0.3722  3 Be 2.28-2.47
Pt7 0.0822 0.7500 0.1644  1 Be 2.25
Pt8 0.9178 0.2500 0.8356  1 Be 2.25

***

11.
A plane-wave DFT calculation with PBE was carried out for crystalline YBePt2 at its relaxed geometry.

- space-group type = I-42d
- total DFT energy (no corrections) (eV per atom) = -6.114
- ΔE_f (eV per formula unit) = -2.19
- total moment (Bohr magnetons per cell) = 0.00
- N(E_F) (states/eV/atom) = 0.753

Cell lengths 4.8270, 4.8270, 7.9980 Å; angles 72.44, 72.44, 90.00 degrees
Closest atoms and distances in Å follow each position.
Positions (direct):
Y1 0.0000 0.0000 0.0000  4 Pt 2.92
Y2 0.7500 0.2500 0.5000  4 Pt 2.92
Be1 0.5000 0.5000 0.0000  4 Pt 2.22
Be2 0.2500 0.7500 0.5000  4 Pt 2.22
Pt1 0.4727 0.1250 0.2500  2 Be 2.22
Pt2 0.2773 0.6250 0.2500  2 Be 2.22
Pt3 0.3750 0.5273 0.7500  2 Be 2.22
Pt4 0.8750 0.7227 0.7500  2 Be 2.22

***

12.
A plane-wave DFT calculation with PBE was carried out for crystalline YBePt2 at its relaxed geometry.

- space-group type = Cmmm
- total DFT energy (no corrections) (eV per atom) = -6.228
- ΔE_f (eV per formula unit) = -2.64
- total moment (Bohr magnetons per cell) = 0.00
- N(E_F) (states/eV/atom) = 0.497

Cell lengths 3.3963, 5.3181, 4.6934 Å; angles 124.51, 89.99, 90.00 degrees
Closest atoms and distances in Å follow each position.
Positions (direct):
Y1 0.5000 0.5000 0.0000  2 Be 2.66, 4 Pt 2.97
Be1 0.5000 0.0000 0.0000  4 Pt 2.22
Pt1 0.9998 0.8153 0.6306  2 Be 2.22
Pt2 0.0002 0.1847 0.3694  2 Be 2.22